# 1
Density functional theory data (PBE-GGA) for a relaxed structure of K2MgCo.

Cell lengths 3.468, 3.468, 10.880 Å; angles 90.00, 90.00, 90.00 degrees
Space group P4/mmm (No. 123)
Asymmetric unit:
K 0.000 0.000 0.214 (multiplicity 2)
Mg 0.500 0.500 0.500 (multiplicity 1)
Co 0.500 0.500 0.000 (multiplicity 1)

- E (eV per atom) = -1.8926
- DOS(E_F) (states/eV per atom) = 1.32
- density (g/cm3) = 2.049
- M_tot (Bohr magnetons per cell) = 1.86



# 2
Density functional theory data (PBE-GGA) for a relaxed structure of Zn2TcAg.

Cell lengths 2.688, 4.175, 5.459 Å; angles 90.00, 90.00, 90.00 degrees
Space group Pmm2 (No. 25)
Asymmetric unit:
Zn 0.000 0.000 0.000 (multiplicity 1)
Zn 0.500 0.500 0.281 (multiplicity 1)
Tc 0.500 0.500 0.794 (multiplicity 1)
Ag 0.000 0.000 0.508 (multiplicity 1)

- E (eV per atom) = -3.7187
- DOS(E_F) (states/eV per atom) = 0.81
- density (g/cm3) = 9.126
- M_tot (Bohr magnetons per cell) = 0.00



# 3
Density functional theory data (PBE-GGA) for a relaxed structure of YBr.

Cell lengths 3.5856, 3.5856, 9.1147 Å; angles 90.00, 90.00, 120.00 degrees
Space group P6_3/mmc (No. 194)
Asymmetric unit:
Y 0.0000 0.0000 0.0000 (multiplicity 2)
Br 0.3333 0.6667 0.2500 (multiplicity 2)

- raw formation energy (eV per atom) = -1.049
- DOS(E_F) (states/eV per atom) = 0.17
- density (g/cm3) = 5.524
- M_tot (Bohr magnetons per cell) = 0.00



# 4
Density functional theory data (PBE-GGA) for a relaxed structure of BaMg2Zr.

Cell lengths 3.658, 3.658, 8.743 Å; angles 90.00, 90.00, 90.00 degrees
Space group P4/mmm (No. 123)
Asymmetric unit:
Ba 0.000 0.000 0.000 (multiplicity 1)
Mg 0.500 0.500 0.305 (multiplicity 2)
Zr 0.000 0.000 0.500 (multiplicity 1)

- E (eV per atom) = -3.2788
- DOS(E_F) (states/eV per atom) = 1.12
- density (g/cm3) = 3.933
- M_tot (Bohr magnetons per cell) = 0.00



Copy entry 3 word for word.
Density functional theory data (PBE-GGA) for a relaxed structure of YBr.

Cell lengths 3.5856, 3.5856, 9.1147 Å; angles 90.00, 90.00, 120.00 degrees
Space group P6_3/mmc (No. 194)
Asymmetric unit:
Y 0.0000 0.0000 0.0000 (multiplicity 2)
Br 0.3333 0.6667 0.2500 (multiplicity 2)

- raw formation energy (eV per atom) = -1.049
- DOS(E_F) (states/eV per atom) = 0.17
- density (g/cm3) = 5.524
- M_tot (Bohr magnetons per cell) = 0.00



Repeat the second record exactly.
Density functional theory data (PBE-GGA) for a relaxed structure of Zn2TcAg.

Cell lengths 2.688, 4.175, 5.459 Å; angles 90.00, 90.00, 90.00 degrees
Space group Pmm2 (No. 25)
Asymmetric unit:
Zn 0.000 0.000 0.000 (multiplicity 1)
Zn 0.500 0.500 0.281 (multiplicity 1)
Tc 0.500 0.500 0.794 (multiplicity 1)
Ag 0.000 0.000 0.508 (multiplicity 1)

- E (eV per atom) = -3.7187
- DOS(E_F) (states/eV per atom) = 0.81
- density (g/cm3) = 9.126
- M_tot (Bohr magnetons per cell) = 0.00



Question: The lowest DOS(E_F) belongs to which entry?
Answer: YBr